A plane-wave DFT calculation with PBE-GGA was carried out for crystalline Tl5Cd2Pb2 at its relaxed geometry.

Cell: 15.3423 4.5683 7.9270 Å, 90.00 107.58 90.00°
Last column: nearest neighbours and their distance in Å.
Space group C2/m (No. 12)
One atom of each set of equivalent atoms:
Tl  0.0000  0.0000  0.0000  6 Tl 3.41-3.61, 4 Pb 3.48, 2 Cd 3.71
Tl  0.0622  0.5000  0.3340  3 Cd 3.38-3.47, 7 Tl 3.39-3.69, 1 Pb 3.48
Tl  0.1154  0.0000  0.6651  3 Cd 3.36-3.46, 6 Tl 3.39-3.71, 3 Pb 3.46-3.49
Cd  0.2258  0.0000  0.3443  2 Cd 3.28, 6 Tl 3.36-3.47, 3 Pb 3.41-3.60
Pb  0.1722  0.5000  0.0090  2 Pb 3.34, 3 Cd 3.41-3.60, 6 Tl 3.46-3.49

- Calculated formation energy: 0.0340 eV/atom
- Total energy: -41.5 eV for the cell shown
- Crystal system: monoclinic
- M_tot: 0.00 μB per atom